CrSi3O: relaxed, PBE+U.

## Properties
- Volume: 14.24 Å³ per atom
- Raw total energy: -0.2028 hartree per atom

Unit cell a=4.144 b=4.144 c=4.144 alpha=90.00 beta=90.00 gamma=90.00
Site moments in Bohr magnetons follow the coordinates.
Fractional positions:
Cr  0.500  0.500  0.500  3.89
Si  0.500  0.000  0.000  -0.05
Si  0.000  0.500  0.000  -0.06
Si  0.000  0.000  0.500  -0.02
O  0.000  0.000  0.000  -0.02